{"formula": "NaSeNO2", "functional": "PBE-GGA", "state": "relaxed", "lattice_angstrom": [[4.1381, 0.0000, 0.0000], [0.0000, 4.1381, 0.0000], [0.0000, 0.0000, 4.3183]], "species": ["N", "Na", "Se", "O", "O"], "frac_coords": [[0.0000, 0.0000, 0.5000], [0.0000, 0.0000, 0.0000], [0.5000, 0.5000, 0.5000], [0.5000, 0.0000, 0.0000], [0.0000, 0.5000, 0.0000]], "final_energy_ev_per_atom": -3.067, "space_group": "P4/mmm", "formation_energy_uncorrected_ev_per_atom": 1.542}